(1)
First-principles (PBE) data for a relaxed DyIn2Au7 crystal, as listed in the Alexandria database.

Cell lengths 9.1425, 9.1425, 3.8993 Å; angles 90.00, 90.00, 135.39 degrees
Last column: nearest neighbours and their distance in Å.
Fractional positions:
Dy1 0.0000 0.0000 0.0000  8 Au 3.03
In1 0.2555 0.7445 0.5000  6 Au 2.79-3.08
In2 0.7445 0.2555 0.5000  6 Au 2.79-3.08
Au1 0.0885 0.3094 0.5000  4 Au 2.76-2.87, 2 In 2.81-3.08, 2 Dy 3.03
Au2 0.3094 0.0885 0.5000  4 Au 2.76-2.87, 2 In 2.81-3.08, 2 Dy 3.03
Au3 0.3735 0.6265 0.0000  2 In 2.79, 6 Au 2.87-2.89
Au4 0.5000 0.5000 0.5000  8 Au 2.80-2.89
Au5 0.6265 0.3735 0.0000  2 In 2.79, 6 Au 2.87-2.89
Au6 0.6906 0.9115 0.5000  4 Au 2.76-2.87, 2 In 2.81-3.08, 2 Dy 3.03
Au7 0.9115 0.6906 0.5000  4 Au 2.76-2.87, 2 In 2.81-3.08, 2 Dy 3.03

Computed properties:
Its total magnetization is 0.00 μB/cell. For the formation energy, the calculation gives -0.27 eV/atom.

(2)
First-principles (PBE) data for a relaxed MnV3Mo crystal, as listed in the Alexandria database.

Cell lengths 6.9686, 6.9686, 6.4613 Å; angles 95.28, 95.28, 114.16 degrees
Last column: nearest neighbours and their distance in Å.
Fractional positions:
Mn1 0.0876 0.9124 0.7500  6 V 2.29-2.42
Mn2 0.2329 0.7671 0.2500  4 V 2.39-2.46, 2 Mo 2.43
Mn3 0.7671 0.2329 0.7500  4 V 2.39-2.46, 2 Mo 2.43
Mn4 0.9124 0.0876 0.2500  6 V 2.29-2.42
V1 0.0602 0.1948 0.9324  3 Mn 2.29-2.42, 1 V 2.53
V2 0.0632 0.3654 0.5452  2 Mn 2.40-2.46, 2 V 2.47-2.48, 1 Mo 2.48
V3 0.1948 0.0602 0.4324  3 Mn 2.29-2.42, 1 V 2.53
V4 0.3399 0.4217 0.3123  1 V 2.10
V5 0.3654 0.0632 0.0452  2 Mn 2.40-2.46, 2 V 2.47-2.48, 1 Mo 2.48
V6 0.4217 0.3399 0.8123  1 V 2.10
V7 0.5783 0.6601 0.1877  1 V 2.10
V8 0.6346 0.9368 0.9548  2 Mn 2.40-2.46, 2 V 2.47-2.48, 1 Mo 2.48
V9 0.6601 0.5783 0.6877  1 V 2.10
V10 0.8052 0.9398 0.5676  3 Mn 2.29-2.42, 1 V 2.53
V11 0.9368 0.6346 0.4548  2 Mn 2.40-2.46, 2 V 2.47-2.48, 1 Mo 2.48
V12 0.9398 0.8052 0.0676  3 Mn 2.29-2.42, 1 V 2.53
Mo1 0.1700 0.5986 0.8880  2 Mn 2.43-2.68, 2 V 2.48-2.65, 1 Mo 2.70
Mo2 0.4014 0.8300 0.6120  2 Mn 2.43-2.68, 2 V 2.48-2.65, 1 Mo 2.70
Mo3 0.5986 0.1700 0.3880  2 Mn 2.43-2.68, 2 V 2.48-2.65, 1 Mo 2.70
Mo4 0.8300 0.4014 0.1120  2 Mn 2.43-2.68, 2 V 2.48-2.65, 1 Mo 2.70

Computed properties:
Its total magnetization is 0.00 μB/cell. For the formation energy, the calculation gives 0.29 eV/atom.

Quick rundown of mass density, same order as above: 12.85 7.15 g/cm³